# 1
# HgPb2I2 | Alexandria | PBE | optimized geometry
data_HgPb2I2
_cell_length_a 8.264
_cell_length_b 8.264
_cell_length_c 5.233
_cell_angle_alpha 90.00
_cell_angle_beta 90.00
_cell_angle_gamma 90.00
_space_group_name_H-M_alt 'P 4/m b m'
_space_group_IT_number 127
_space_group_name_Hall '-P 4 2ab'
loop_
_atom_site_label
_atom_site_fract_x
_atom_site_fract_y
_atom_site_fract_z
_atom_site_occupancy
Hg1 0.000 0.000 0.000 1
Pb1 0.156 0.344 0.000 1
I1 0.177 0.677 0.500 1
# raw formation energy: -0.19 eV/atom
# N(E_F): 3.39 states/eV/cell
# electronic total energy: -23.6 eV for the cell shown

***

# 2
# NaYN2F | Alexandria | PBE | optimized geometry
data_NaYN2F
_cell_length_a 4.571
_cell_length_b 4.571
_cell_length_c 4.450
_cell_angle_alpha 90.00
_cell_angle_beta 90.00
_cell_angle_gamma 90.00
_space_group_name_H-M_alt 'P 4/m m m'
_space_group_IT_number 123
_space_group_name_Hall '-P 4 2'
loop_
_atom_site_label
_atom_site_fract_x
_atom_site_fract_y
_atom_site_fract_z
_atom_site_occupancy
Na1 0.000 0.000 0.000 1
Y1 0.500 0.500 0.500 1
N1 0.000 0.500 0.500 1
F1 0.500 0.500 0.000 1
# raw formation energy: -0.53 eV/atom
# N(E_F): 4.25 states/eV/cell
# electronic total energy: -29.0 eV for the cell shown

***

# 3
# CsTaZn | Alexandria | PBE | optimized geometry
data_CsTaZn
_cell_length_a 20.336
_cell_length_b 5.012
_cell_length_c 4.987
_cell_angle_alpha 90.00
_cell_angle_beta 90.00
_cell_angle_gamma 90.00
_space_group_name_H-M_alt 'P n m a'
_space_group_IT_number 62
_space_group_name_Hall '-P 2ac 2n'
loop_
_atom_site_label
_atom_site_fract_x
_atom_site_fract_y
_atom_site_fract_z
_atom_site_occupancy
Cs1 0.158 0.250 0.004 1
Ta1 0.005 0.750 0.500 1
Zn1 0.000 0.000 0.000 1
# energy relative to the elements: 0.697 eV/atom
# N(E_F): 9.24 states/eV/cell
# electronic total energy: -47.6 eV for the cell shown

***

# 4
# CeGdSi | Alexandria | PBE | optimized geometry
data_CeGdSi
_cell_length_a 6.928
_cell_length_b 6.928
_cell_length_c 6.928
_cell_angle_alpha 90.00
_cell_angle_beta 90.00
_cell_angle_gamma 90.00
_space_group_name_H-M_alt 'F -4 3 m'
_space_group_IT_number 216
_space_group_name_Hall 'F -4 2 3'
loop_
_atom_site_label
_atom_site_fract_x
_atom_site_fract_y
_atom_site_fract_z
_atom_site_occupancy
Ce1 0.000 0.000 0.000 1
Gd1 0.000 0.000 0.500 1
Si1 0.250 0.250 0.750 1
# raw formation energy: -0.35 eV/atom
# N(E_F): 30.57 states/eV/cell
# electronic total energy: -106.0 eV for the cell shown

***

# 5
# BaNa3Zr | Alexandria | PBE | optimized geometry
data_BaNa3Zr
_cell_length_a 6.076
_cell_length_b 6.076
_cell_length_c 6.076
_cell_angle_alpha 90.00
_cell_angle_beta 90.00
_cell_angle_gamma 90.00
_space_group_name_H-M_alt 'P m -3 m'
_space_group_IT_number 221
_space_group_name_Hall '-P 4 2 3'
loop_
_atom_site_label
_atom_site_fract_x
_atom_site_fract_y
_atom_site_fract_z
_atom_site_occupancy
Ba1 0.000 0.000 0.000 1
Na1 0.000 0.500 0.500 1
Zr1 0.500 0.500 0.500 1
# energy relative to the elements: 0.856 eV/atom
# N(E_F): 8.78 states/eV/cell
# electronic total energy: -10.1 eV for the cell shown

***

# 6
# YTa2Os | Alexandria | PBE | optimized geometry
data_YTa2Os
_cell_length_a 3.1370
_cell_length_b 3.1370
_cell_length_c 27.8414
_cell_angle_alpha 90.00
_cell_angle_beta 90.00
_cell_angle_gamma 120.00
_space_group_name_H-M_alt 'R 3 m'
_space_group_IT_number 160
_space_group_name_Hall 'R 3 -2"'
loop_
_atom_site_label
_atom_site_fract_x
_atom_site_fract_y
_atom_site_fract_z
_atom_site_occupancy
Y1 0.0000 0.0000 0.0000 1
Ta1 0.0000 0.0000 0.2368 1
Ta2 0.0000 0.0000 0.4882 1
Os1 0.0000 0.0000 0.7533 1
# energy relative to the elements: 0.292 eV/atom
# N(E_F): 18.73 states/eV/cell
# electronic total energy: -120.7 eV for the cell shown

***

no.,energy above the lowest structure with this stoichiometry (meV per atom)
1,11
2,0
3,0
4,0
5,0
6,291